The following is a DFT calculation (PBE-GGA) of a relaxed structure of Tb5ZnAu4.

Values from the calculation:
The magnetic moment comes out at 0.0 μB per formula unit. The value obtained for the uncorrected energy is -45.08 eV per cell. For the volume, the calculation gives 23.5 Å³/atom.

```
10
Lattice="3.5998 0.0000 0.0000 0.0000 3.5998 0.0000 0.0000 0.0000 18.1058" Properties=species:S:1:pos:R:3 pbc="T T T"
Tb 0.0000 0.0000 0.0000
Tb 0.0000 0.0000 3.6540
Tb 0.0000 0.0000 7.2773
Tb 0.0000 0.0000 10.8285
Tb 0.0000 0.0000 14.4518
Zn 1.7999 1.7999 9.0529
Au 1.7999 1.7999 1.8145
Au 1.7999 1.7999 5.5034
Au 1.7999 1.7999 12.6024
Au 1.7999 1.7999 16.2913
```